Entry 1:
First-principles (PBEsol) data for an optimized crystal structure of MgSbRu2, as listed in the Alexandria database.

Formation energy from raw total energies ... 1.19 eV/f.u.
Calculated total energy ... -101.71 eV/cell
Excess energy over the best structure of this formula in the dataset ... 486 meV per atom

Cell lengths 6.3399, 6.3399, 6.3399 Å; angles 90.00, 90.00, 90.00 degrees
Closest atoms and distances in Å follow each position.
Space group F-43m (No. 216)
One atom of each set of equivalent atoms:
Mg 0.0000 0.0000 0.0000 (multiplicity 4)  4 Sb 2.75, 4 Ru 2.75
Sb 0.2500 0.2500 0.2500 (multiplicity 4)  4 Ru 2.75, 4 Mg 2.75
Ru 0.0000 0.0000 0.5000 (multiplicity 4)  4 Sb 2.75, 4 Ru 2.75
Ru 0.2500 0.2500 0.7500 (multiplicity 4)  4 Ru 2.75, 4 Mg 2.75

=====

Entry 2:
First-principles (PBEsol) data for an optimized crystal structure of MgSbRu, as listed in the Alexandria database.

Formation energy from raw total energies ... -0.34 eV/f.u.
Calculated total energy ... -33.57 eV/cell

Cell lengths 3.2097, 3.2097, 10.8690 Å; angles 90.00, 90.00, 90.00 degrees
Closest atoms and distances in Å follow each position.
Space group I4mm (No. 107)
One atom of each set of equivalent atoms:
Mg 0.0000 0.0000 0.0000 (multiplicity 2)  4 Ru 2.83, 1 Sb 3.08
Sb 0.0000 0.0000 0.2830 (multiplicity 2)  4 Ru 2.66
Ru 0.0000 0.0000 0.6555 (multiplicity 2)  4 Sb 2.66, 4 Mg 2.83

=====

Entry 3:
First-principles (PBEsol) data for an optimized crystal structure of MgSbRu2, as listed in the Alexandria database.

Formation energy from raw total energies ... -0.75 eV/f.u.
Calculated total energy ... -109.48 eV/cell
Excess energy over the best structure of this formula in the dataset ... 0 meV per atom

Cell lengths 6.2309, 6.2309, 6.2309 Å; angles 90.00, 90.00, 90.00 degrees
Closest atoms and distances in Å follow each position.
Space group Fm-3m (No. 225)
One atom of each set of equivalent atoms:
Mg 0.0000 0.0000 0.0000 (multiplicity 4)  8 Ru 2.70
Sb 0.0000 0.0000 0.5000 (multiplicity 4)  8 Ru 2.70
Ru 0.2500 0.2500 0.2500 (multiplicity 8)  4 Sb 2.70, 4 Mg 2.70

=====

Entry 4:
First-principles (PBEsol) data for an optimized crystal structure of Mg2SbRu, as listed in the Alexandria database.

Formation energy from raw total energies ... -0.28 eV/f.u.
Calculated total energy ... -36.88 eV/cell

Cell lengths 4.1570, 4.1570, 8.0548 Å; angles 90.00, 90.00, 90.00 degrees
Closest atoms and distances in Å follow each position.
Space group I-4m2 (No. 119)
One atom of each set of equivalent atoms:
Mg 0.0000 0.0000 0.0000 (multiplicity 2)  4 Mg 2.89, 4 Ru 2.89, 4 Sb 2.94
Mg 0.0000 0.5000 0.2500 (multiplicity 2)  4 Sb 2.89, 4 Mg 2.89, 4 Ru 2.94
Sb 0.0000 0.0000 0.5000 (multiplicity 2)  8 Mg 2.89-2.94, 4 Ru 2.89
Ru 0.0000 0.5000 0.7500 (multiplicity 2)  4 Sb 2.89, 8 Mg 2.89-2.94

=====

Entry 5:
First-principles (PBEsol) data for an optimized crystal structure of MgZnSbRu2, as listed in the Alexandria database.

Formation energy from raw total energies ... 4.32 eV/f.u.
Calculated total energy ... -23.88 eV/cell

Cell lengths 4.5549, 4.5549, 4.3706 Å; angles 90.00, 90.00, 90.00 degrees
Closest atoms and distances in Å follow each position.
Space group P4/mmm (No. 123)
One atom of each set of equivalent atoms:
Mg 0.0000 0.0000 0.0000 (multiplicity 1)  2 Zn 2.19
Zn 0.0000 0.0000 0.5000 (multiplicity 1)  2 Mg 2.19, 4 Ru 2.28
Sb 0.5000 0.5000 0.0000 (multiplicity 1)  8 Ru 3.16, 4 Mg 3.22
Ru 0.0000 0.5000 0.5000 (multiplicity 2)  2 Zn 2.28

=====

Entry 6:
First-principles (PBEsol) data for an optimized crystal structure of Mg2ScRu, as listed in the Alexandria database.

Calculated total energy ... -19.95 eV/cell
Formation energy ... 65.3 meV per atom

Cell lengths 2.9574, 4.3409, 5.5393 Å; angles 90.00, 90.00, 90.00 degrees
Closest atoms and distances in Å follow each position.
Space group Pmmm (No. 47)
One atom of each set of equivalent atoms:
Mg 0.0000 0.0000 0.2293 (multiplicity 2)  1 Mg 2.54
Sc 0.5000 0.5000 0.5000 (multiplicity 1)  2 Ru 2.77, 2 Sc 2.96, 8 Mg 3.02
Ru 0.5000 0.5000 0.0000 (multiplicity 1)  2 Sc 2.77, 8 Mg 2.92, 2 Ru 2.96

=====

Entry 7:
First-principles (PBEsol) data for an optimized crystal structure of Mg2ScRu, as listed in the Alexandria database.

Calculated total energy ... -41.62 eV/cell
Formation energy ... -149.1 meV per atom

Cell lengths 3.3316, 4.4414, 9.7387 Å; angles 90.00, 90.00, 90.00 degrees
Closest atoms and distances in Å follow each position.
Space group Immm (No. 71)
One atom of each set of equivalent atoms:
Mg 0.0000 0.0000 0.2211 (multiplicity 4)  2 Ru 2.72, 4 Mg 2.83
Sc 0.0000 0.5000 0.0000 (multiplicity 2)  4 Ru 2.78, 4 Mg 3.09
Ru 0.0000 0.5000 0.5000 (multiplicity 2)  4 Mg 2.72, 4 Sc 2.78

=====

Entry 8:
First-principles (PBEsol) data for an optimized crystal structure of MgSc2Ru2, as listed in the Alexandria database.

Calculated total energy ... -73.23 eV/cell
Formation energy ... -268.8 meV per atom

Cell lengths 7.2119, 7.2119, 3.3475 Å; angles 90.00, 90.00, 90.00 degrees
Closest atoms and distances in Å follow each position.
Space group P4/mbm (No. 127)
One atom of each set of equivalent atoms:
Mg 0.0000 0.0000 0.0000 (multiplicity 2)  4 Ru 2.77
Sc 0.1532 0.3468 0.5000 (multiplicity 4)  6 Ru 2.66-2.72
Ru 0.1446 0.6446 0.0000 (multiplicity 4)  6 Sc 2.66-2.72, 2 Mg 2.77, 1 Ru 2.95

=====

Please write out number 6 again, unchanged.
First-principles (PBEsol) data for an optimized crystal structure of Mg2ScRu, as listed in the Alexandria database.

Calculated total energy ... -19.95 eV/cell
Formation energy ... 65.3 meV per atom

Cell lengths 2.9574, 4.3409, 5.5393 Å; angles 90.00, 90.00, 90.00 degrees
Closest atoms and distances in Å follow each position.
Space group Pmmm (No. 47)
One atom of each set of equivalent atoms:
Mg 0.0000 0.0000 0.2293 (multiplicity 2)  1 Mg 2.54
Sc 0.5000 0.5000 0.5000 (multiplicity 1)  2 Ru 2.77, 2 Sc 2.96, 8 Mg 3.02
Ru 0.5000 0.5000 0.0000 (multiplicity 1)  2 Sc 2.77, 8 Mg 2.92, 2 Ru 2.96